# 1
# LiHgAs2

LiHgAs2 after structural relaxation (PBE, the Alexandria database).

Cell lengths 2.758, 4.208, 7.894 Å; angles 90.00, 90.00, 90.00 degrees
Element x y z (fractional)
Li  0.500  0.500  0.750
Hg  0.500  0.500  0.250
As  0.000  0.000  0.590
As  0.000  0.000  0.910

Results
* E: -11.9 eV/cell
* M_tot: 0.000 μB per formula unit
* ΔH_f (0 K): -105 meV per atom



# 2
# PaCoH2

PaCoH2 after structural relaxation (PBE, the Alexandria database).

Cell lengths 3.873, 3.910, 4.379 Å; angles 123.56, 123.34, 76.07 degrees
Element x y z (fractional)
H  0.581  0.859  0.640
H  0.941  0.220  0.360
Co  0.484  0.997  0.000
Pa  0.994  0.460  0.000

Results
* E: -24.6 eV/cell
* excess energy over the best structure of this formula in the dataset: 32 meV per atom
* M_tot: 0.000 μB per formula unit



# 3
# CeNp2Ir9

CeNp2Ir9 after structural relaxation (PBE, the Alexandria database).

Cell lengths 5.301, 5.301, 9.297 Å; angles 73.43, 73.43, 60.00 degrees
Element x y z (fractional)
Ir  0.666  0.666  0.001
Np  0.860  0.860  0.420
Ir  0.415  0.919  0.251
Ir  0.500  0.500  0.500
Ir  0.415  0.415  0.251
Np  0.140  0.140  0.580
Ir  0.334  0.334  0.999
Ir  0.585  0.585  0.749
Ir  0.585  0.081  0.749
Ir  0.919  0.415  0.251
Ir  0.081  0.585  0.749
Ce  0.000  0.000  0.000

Results
* E: -116.7 eV/cell
* M_tot: 5.856 μB per formula unit
* ΔH_f (0 K): -429 meV per atom



# 4
# Mg2TaFe

Mg2TaFe after structural relaxation (PBE, the Alexandria database).

Cell lengths 5.532, 5.532, 5.532 Å; angles 147.66, 133.56, 57.73 degrees
Element x y z (fractional)
Ta  0.750  0.250  0.500
Mg  0.471  0.471  0.000
Mg  0.029  0.029  0.000
Fe  0.250  0.750  0.500

Results
* E: -22.4 eV/cell
* excess energy over the best structure of this formula in the dataset: 190 meV per atom
* M_tot: 0.001 μB per formula unit
* ΔH_f (0 K): 280 meV per atom



# 5
# SrCu2P

SrCu2P after structural relaxation (PBE, the Alexandria database).

Cell lengths 3.465, 3.465, 6.322 Å; angles 90.00, 90.00, 89.70 degrees
Element x y z (fractional)
P  0.500  0.500  0.250
Cu  0.000  0.000  0.435
Cu  0.000  0.000  0.065
Sr  0.500  0.500  0.750

Results
* E: -14.6 eV/cell
* M_tot: 0.000 μB per formula unit
* ΔH_f (0 K): 173 meV per atom



# 6
# Th7Tl2Os2

Th7Tl2Os2 after structural relaxation (PBE, the Alexandria database).

Cell lengths 7.058, 7.096, 7.058 Å; angles 90.02, 105.70, 89.98 degrees
Element x y z (fractional)
Th  0.000  0.256  0.500
Tl  0.170  0.500  0.170
Th  0.500  0.256  0.000
Th  0.000  0.744  0.500
Th  0.000  0.000  0.000
Os  0.277  0.000  0.723
Os  0.723  0.000  0.277
Th  0.500  0.757  0.500
Th  0.500  0.243  0.500
Th  0.500  0.744  0.000
Tl  0.830  0.500  0.830

Results
* E: -79.9 eV/cell
* M_tot: 0.000 μB per formula unit
* ΔH_f (0 K): -67 meV per atom



# 7
# BeNbIr2

BeNbIr2 after structural relaxation (PBE, the Alexandria database).

Cell lengths 2.897, 2.897, 6.527 Å; angles 90.00, 90.00, 90.00 degrees
Element x y z (fractional)
Be  0.500  0.500  0.000
Ir  0.000  0.000  0.787
Ir  0.000  0.000  0.213
Nb  0.500  0.500  0.500

Results
* E: -33.7 eV/cell
* M_tot: 0.000 μB per formula unit
* ΔH_f (0 K): -556 meV per atom



# 8
# Pr2ErIn3

Pr2ErIn3 after structural relaxation (PBE, the Alexandria database).

Cell lengths 3.790, 6.556, 14.861 Å; angles 90.00, 97.33, 90.00 degrees
Element x y z (fractional)
In  0.747  0.750  0.493
Pr  0.005  0.250  0.010
Er  0.331  0.750  0.662
In  0.422  0.491  0.843
In  0.422  0.009  0.843
In  0.253  0.250  0.507
Pr  0.995  0.750  0.990
Pr  0.155  0.750  0.310
In  0.578  0.509  0.157
In  0.578  0.991  0.157
Er  0.669  0.250  0.338
Pr  0.845  0.250  0.690

Results
* E: -48.2 eV/cell
* excess energy over the best structure of this formula in the dataset: 183 meV per atom
* M_tot: 0.000 μB per formula unit
* ΔH_f (0 K): -297 meV per atom



# 9
# TlSi3Ge

TlSi3Ge after structural relaxation (PBE, the Alexandria database).

Cell lengths 4.877, 4.877, 4.877 Å; angles 90.00, 90.00, 90.00 degrees
Element x y z (fractional)
Si  0.000  0.000  0.500
Si  0.500  0.000  0.000
Ge  0.000  0.000  0.000
Si  0.000  0.500  0.000
Tl  0.500  0.500  0.500

Results
* E: -18.7 eV/cell
* excess energy over the best structure of this formula in the dataset: 0 meV per atom
* M_tot: 0.000 μB per formula unit
* formation energy (no corrections): 0.908 eV per atom



# 10
# LiLa2CdPd

LiLa2CdPd after structural relaxation (PBE, the Alexandria database).

Cell lengths 5.656, 5.656, 4.742 Å; angles 90.00, 90.00, 90.00 degrees
Element x y z (fractional)
La  0.500  0.000  0.000
La  0.000  0.500  0.000
Cd  0.500  0.500  0.500
Pd  0.000  0.000  0.000
Li  0.000  0.000  0.500

Results
* E: -19.1 eV/cell
* M_tot: 0.000 μB per formula unit
* ΔH_f (0 K): -254 meV per atom



# 11
# NaTcF6

NaTcF6 after structural relaxation (PBE, the Alexandria database).

Cell lengths 5.053, 5.314, 5.314 Å; angles 120.00, 90.00, 90.00 degrees
Element x y z (fractional)
F  0.780  0.673  0.045
F  0.780  0.373  0.327
Na  0.500  0.000  0.000
Tc  0.000  0.667  0.333
F  0.220  0.955  0.327
F  0.220  0.673  0.627
F  0.780  0.955  0.627
F  0.220  0.373  0.045

Results
* E: -41.3 eV/cell
* excess energy over the best structure of this formula in the dataset: 5 meV per atom
* M_tot: 2.000 μB per formula unit
* formation energy (no corrections): -2.301 eV per atom



# 12
# LaDySnPd

LaDySnPd after structural relaxation (PBE, the Alexandria database).

Cell lengths 5.304, 5.304, 5.304 Å; angles 60.00, 60.00, 60.00 degrees
Element x y z (fractional)
Sn  0.000  0.000  0.000
Dy  0.750  0.750  0.750
Pd  0.500  0.500  0.500
La  0.250  0.250  0.250

Results
* E: -21.5 eV/cell
* M_tot: 0.002 μB per formula unit
* ΔH_f (0 K): -705 meV per atom



# 13
# Nd2YHg3

Nd2YHg3 after structural relaxation (PBE, the Alexandria database).

Cell lengths 3.795, 3.795, 11.464 Å; angles 90.00, 90.00, 90.00 degrees
Element x y z (fractional)
Nd  0.500  0.500  0.170
Hg  0.000  0.000  0.000
Nd  0.500  0.500  0.830
Hg  0.000  0.000  0.345
Y  0.500  0.500  0.500
Hg  0.000  0.000  0.655

Results
* E: -19.8 eV/cell
* M_tot: 1.071 μB per formula unit
* ΔH_f (0 K): -480 meV per atom



# 14
# KRe2Sb

KRe2Sb after structural relaxation (PBE, the Alexandria database).

Cell lengths 6.131, 6.131, 6.131 Å; angles 152.58, 130.07, 57.90 degrees
Element x y z (fractional)
K  0.250  0.750  0.500
Sb  0.750  0.250  0.500
Re  0.537  0.537  0.000
Re  0.963  0.963  0.000

Results
* E: -25.0 eV/cell
* M_tot: 0.000 μB per formula unit
* formation energy (no corrections): 1.290 eV per atom



# 15
# Y5OsPt2

Y5OsPt2 after structural relaxation (PBE, the Alexandria database).

Cell lengths 4.287, 7.704, 12.028 Å; angles 90.00, 90.00, 90.00 degrees
Element x y z (fractional)
Y  0.000  0.338  0.298
Y  0.000  0.162  0.798
Y  0.500  0.823  0.910
Y  0.500  0.323  0.590
Pt  0.500  0.044  0.329
Y  0.000  0.500  0.000
Y  0.500  0.177  0.090
Y  0.000  0.000  0.500
Pt  0.500  0.456  0.829
Y  0.000  0.838  0.202
Pt  0.500  0.544  0.171
Y  0.500  0.677  0.410
Y  0.000  0.662  0.702
Os  0.000  0.000  0.000
Pt  0.500  0.956  0.671
Os  0.000  0.500  0.500

Results
* E: -123.0 eV/cell
* M_tot: 0.000 μB per formula unit
* ΔH_f (0 K): -731 meV per atom



# 16
# CeAl2Co2Si

CeAl2Co2Si after structural relaxation (PBE, the Alexandria database).

Cell lengths 4.246, 4.246, 5.654 Å; angles 90.00, 90.00, 90.00 degrees
Element x y z (fractional)
Ce  0.000  0.000  0.500
Al  0.500  0.500  0.250
Co  0.500  0.000  0.000
Si  0.000  0.000  0.000
Co  0.000  0.500  0.000
Al  0.500  0.500  0.750

Results
* E: -35.2 eV/cell
* M_tot: 1.894 μB per formula unit
* formation energy (no corrections): -0.354 eV per atom



# 17
# NaZn2Ru

NaZn2Ru after structural relaxation (PBE, the Alexandria database).

Cell lengths 4.451, 4.451, 4.451 Å; angles 60.00, 60.00, 60.00 degrees
Element x y z (fractional)
Zn  0.750  0.750  0.750
Na  0.000  0.000  0.000
Ru  0.500  0.500  0.500
Zn  0.250  0.250  0.250

Results
* E: -12.2 eV/cell
* excess energy over the best structure of this formula in the dataset: 125 meV per atom
* M_tot: 0.000 μB per formula unit
* ΔH_f (0 K): 229 meV per atom



# 18
# MnCdSi

MnCdSi after structural relaxation (PBE, the Alexandria database).

Cell lengths 2.904, 2.904, 6.665 Å; angles 90.00, 90.00, 120.00 degrees
Element x y z (fractional)
Cd  0.000  0.000  0.009
Mn  0.667  0.333  0.360
Si  0.333  0.667  0.632

Results
* E: -14.7 eV/cell
* excess energy over the best structure of this formula in the dataset: 224 meV per atom
* M_tot: 2.861 μB per formula unit
* formation energy (no corrections): 0.254 eV per atom



# 19
# Hg8AuBr2

Hg8AuBr2 after structural relaxation (PBE, the Alexandria database).

Cell lengths 4.104, 6.705, 14.346 Å; angles 117.51, 98.23, 90.33 degrees
Element x y z (fractional)
Hg  0.793  0.057  0.586
Hg  0.975  0.239  0.943
Hg  0.411  0.720  0.791
Hg  0.589  0.280  0.209
Hg  0.025  0.761  0.057
Br  0.174  0.393  0.363
Hg  0.207  0.943  0.414
Hg  0.614  0.772  0.231
Au  0.500  0.000  0.000
Br  0.826  0.607  0.637
Hg  0.386  0.228  0.769

Results
* E: -10.2 eV/cell
* M_tot: 0.000 μB per formula unit
* formation energy (no corrections): -0.104 eV per atom



# 20
# NpFeAs3

NpFeAs3 after structural relaxation (PBE, the Alexandria database).

Cell lengths 5.473, 5.569, 11.771 Å; angles 90.00, 90.00, 90.00 degrees
Element x y z (fractional)
Fe  0.000  0.750  0.911
As  0.250  0.602  0.062
As  0.000  0.250  0.497
As  0.000  0.750  0.503
Fe  0.000  0.250  0.089
As  0.250  0.102  0.938
Np  0.750  0.492  0.694
Np  0.250  0.508  0.306
Np  0.750  0.992  0.306
As  0.750  0.993  0.782
Np  0.250  0.008  0.694
As  0.500  0.250  0.497
Fe  0.500  0.750  0.911
As  0.750  0.493  0.218
As  0.750  0.398  0.938
As  0.250  0.507  0.782
Fe  0.500  0.250  0.089
As  0.500  0.750  0.503
As  0.750  0.898  0.062
As  0.250  0.007  0.218

Results
* E: -149.6 eV/cell
* M_tot: 4.018 μB per formula unit
* ΔH_f (0 K): -411 meV per atom



# 21
# SrLi2W

SrLi2W after structural relaxation (PBE, the Alexandria database).

Cell lengths 5.274, 5.274, 5.915 Å; angles 84.05, 84.05, 30.99 degrees
Element x y z (fractional)
Sr  0.504  0.504  0.497
Li  0.000  0.000  0.023
W  0.255  0.255  0.204
Li  0.741  0.741  0.776

Results
* E: -14.9 eV/cell
* excess energy over the best structure of this formula in the dataset: 175 meV per atom
* M_tot: 0.922 μB per formula unit
* ΔH_f (0 K): 903 meV per atom



# 22
# RbGa2CuPd

RbGa2CuPd after structural relaxation (PBE, the Alexandria database).

Cell lengths 4.856, 5.199, 4.856 Å; angles 90.00, 90.00, 90.00 degrees
Element x y z (fractional)
Cu  0.000  0.500  0.000
Ga  0.000  0.000  0.500
Rb  0.500  0.500  0.500
Pd  0.000  0.000  0.000
Ga  0.500  0.000  0.000

Results
* E: -16.5 eV/cell
* M_tot: 0.000 μB per formula unit
* ΔH_f (0 K): -29 meV per atom



# 23
# Li2AcPO

Li2AcPO after structural relaxation (PBE, the Alexandria database).

Cell lengths 3.910, 6.012, 7.283 Å; angles 90.00, 90.00, 108.98 degrees
Element x y z (fractional)
Li  0.168  0.336  0.938
Li  0.832  0.664  0.062
O  0.000  0.000  0.000
Ac  0.551  0.101  0.250
P  0.272  0.544  0.250
Li  0.832  0.664  0.438
Li  0.168  0.336  0.562
O  0.000  0.000  0.500
Ac  0.449  0.899  0.750
P  0.728  0.456  0.750

Results
* E: -53.3 eV/cell
* M_tot: 0.000 μB per formula unit
* formation energy (no corrections): -1.673 eV per atom



# 24
# Cs2SbPdBr6

Cs2SbPdBr6 after structural relaxation (PBE, the Alexandria database).

Cell lengths 7.857, 7.857, 7.851 Å; angles 59.97, 59.97, 90.00 degrees
Element x y z (fractional)
Br  0.744  0.744  0.000
Cs  0.250  0.750  0.500
Br  0.745  0.745  0.511
Pd  0.500  0.500  0.000
Br  0.255  0.255  0.489
Br  0.256  0.256  0.000
Br  0.256  0.744  0.000
Sb  0.000  0.000  0.000
Br  0.744  0.256  0.000
Cs  0.750  0.250  0.500

Results
* E: -31.1 eV/cell
* M_tot: 0.000 μB per formula unit
* formation energy (no corrections): -1.005 eV per atom



# 25
# TaAg2Ir

TaAg2Ir after structural relaxation (PBE, the Alexandria database).

Cell lengths 2.814, 2.814, 9.655 Å; angles 90.00, 90.00, 115.58 degrees
Element x y z (fractional)
Ag  0.000  0.000  0.998
Ag  0.500  0.500  0.255
Ir  0.000  0.000  0.510
Ta  0.500  0.500  0.737

Results
* E: -25.9 eV/cell
* excess energy over the best structure of this formula in the dataset: 93 meV per atom
* M_tot: 0.000 μB per formula unit
* ΔH_f (0 K): 119 meV per atom



# 26
# Cd3GaW

Cd3GaW after structural relaxation (PBE, the Alexandria database).

Cell lengths 5.066, 5.066, 5.066 Å; angles 90.00, 90.00, 90.00 degrees
Element x y z (fractional)
Ga  0.000  0.000  0.000
Cd  0.000  0.500  0.000
Cd  0.500  0.000  0.000
Cd  0.000  0.000  0.500
W  0.500  0.500  0.500

Results
* E: -11.8 eV/cell
* excess energy over the best structure of this formula in the dataset: 189 meV per atom
* M_tot: 4.654 μB per formula unit
* ΔH_f (0 K): 1385 meV per atom